(1)
First-principles (PBE-GGA) data for a geometry-optimized Ca3Dy4Se8 structure, as listed in the Alexandria database.

Values from the calculation:
Formation energy (no corrections)   -1.91 eV per atom
Space group   C2/m

a b c (Å): 8.2278 8.2278 8.2067
angles (deg): 119.70 119.70 90.18
Fractional coordinates of all 15 atoms:
Ca 0.0000 0.0000 0.0000
Ca 0.0000 0.5000 0.0000
Ca 0.5000 0.0000 0.0000
Dy 0.0000 0.5000 0.5000
Dy 0.5000 0.0000 0.5000
Dy 0.5000 0.5000 0.0000
Dy 0.5000 0.5000 0.5000
Se 0.2515 0.7485 0.5000
Se 0.2518 0.2518 0.5046
Se 0.2517 0.7483 0.0000
Se 0.2578 0.2578 0.0085
Se 0.7422 0.7422 0.9915
Se 0.7483 0.2517 0.0000
Se 0.7482 0.7482 0.4954
Se 0.7485 0.2515 0.5000

(2)
First-principles (PBE-GGA) data for a geometry-optimized Li2Cd2Fe structure, as listed in the Alexandria database.

Values from the calculation:
Space group   P4/mbm
ΔE to the lowest computed polymorph   0.0 meV per atom
E_form   0.9 eV/f.u.

a b c (Å): 7.4208 7.4208 2.9685
angles (deg): 90.00 90.00 90.00
Fractional coordinates of all 10 atoms:
Li 0.1242 0.3758 0.0000
Li 0.3758 0.8758 0.0000
Li 0.6242 0.1242 0.0000
Li 0.8758 0.6242 0.0000
Cd 0.1762 0.6762 0.5000
Cd 0.3238 0.1762 0.5000
Cd 0.6762 0.8238 0.5000
Cd 0.8238 0.3238 0.5000
Fe 0.0000 0.0000 0.0000
Fe 0.5000 0.5000 0.0000

(3)
First-principles (PBE-GGA) data for a geometry-optimized LaSn2Au2 structure, as listed in the Alexandria database.

Values from the calculation:
Space group   I4/mmm
E_form   -2.9 eV/f.u.

a b c (Å): 6.4880 6.4880 6.4880
angles (deg): 136.90 136.90 62.60
Fractional coordinates of all 5 atoms:
La 0.0000 0.0000 0.0000
Sn 0.3739 0.3739 0.0000
Sn 0.6261 0.6261 0.0000
Au 0.2500 0.7500 0.5000
Au 0.7500 0.2500 0.5000

(4)
First-principles (PBE-GGA) data for a geometry-optimized LaZrHg3 structure, as listed in the Alexandria database.

Values from the calculation:
Space group   Pm-3m
ΔE to the lowest computed polymorph   802.8 meV per atom
E_form   5.0 eV/f.u.

a b c (Å): 5.6692 5.6692 5.6692
angles (deg): 90.00 90.00 90.00
Fractional coordinates of all 5 atoms:
La 0.0000 0.0000 0.0000
Zr 0.5000 0.5000 0.5000
Hg 0.0000 0.0000 0.5000
Hg 0.0000 0.5000 0.0000
Hg 0.5000 0.0000 0.0000

(5)
First-principles (PBE-GGA) data for a geometry-optimized Ac2AgAu6 structure, as listed in the Alexandria database.

Values from the calculation:
Space group   P-3m1
E_form   -5.1 eV/f.u.

a b c (Å): 6.4846 6.4846 5.8651
angles (deg): 90.00 90.00 120.00
Fractional coordinates of all 9 atoms:
Ac 0.3333 0.6667 0.3258
Ac 0.6667 0.3333 0.6742
Ag 0.0000 0.0000 0.5000
Au 0.1822 0.3644 0.8218
Au 0.1822 0.8178 0.8218
Au 0.3644 0.1822 0.1782
Au 0.6356 0.8178 0.8218
Au 0.8178 0.1822 0.1782
Au 0.8178 0.6356 0.1782

(6)
First-principles (PBE-GGA) data for a geometry-optimized TbSm6HoSc2 structure, as listed in the Alexandria database.

Values from the calculation:
Space group   C2/c
E_form   1.3 eV/f.u.

a b c (Å): 8.7304 8.7304 9.4763
angles (deg): 93.97 93.97 117.55
Fractional coordinates of all 20 atoms:
Tb 0.0291 0.9709 0.7500
Tb 0.9709 0.0291 0.2500
Sm 0.0126 0.5589 0.6819
Sm 0.1119 0.7611 0.0529
Sm 0.2389 0.8881 0.4471
Sm 0.2983 0.5071 0.8821
Sm 0.4411 0.9874 0.8181
Sm 0.4929 0.7017 0.6179
Sm 0.5071 0.2983 0.3821
Sm 0.5589 0.0126 0.1819
Sm 0.7017 0.4929 0.1179
Sm 0.7611 0.1119 0.5529
Sm 0.8881 0.2389 0.9471
Sm 0.9874 0.4411 0.3181
Ho 0.4084 0.5916 0.2500
Ho 0.5916 0.4084 0.7500
Sc 0.1988 0.2989 0.5485
Sc 0.2989 0.1988 0.0485
Sc 0.7011 0.8012 0.9515
Sc 0.8012 0.7011 0.4515

(7)
First-principles (PBE-GGA) data for a geometry-optimized Ce5Rh2Au2 structure, as listed in the Alexandria database.

Values from the calculation:
Space group   Ima2
ΔE to the lowest computed polymorph   71.2 meV per atom
E_form   -4.6 eV/f.u.

a b c (Å): 10.5472 10.5472 10.5472
angles (deg): 55.39 144.26 139.14
Fractional coordinates of all 18 atoms:
Ce 0.1448 0.0375 0.6073
Ce 0.1650 0.0749 0.2399
Ce 0.1650 0.4251 0.5901
Ce 0.4302 0.5375 0.3927
Ce 0.5017 0.8075 0.0277
Ce 0.5017 0.9740 0.1943
Ce 0.7797 0.3075 0.8057
Ce 0.7797 0.4740 0.9723
Ce 0.8350 0.5749 0.4099
Ce 0.8350 0.9251 0.7601
Rh 0.7068 0.2068 0.5000
Rh 0.7068 0.7068 0.0000
Rh 0.9329 0.2093 0.2236
Rh 0.9856 0.7093 0.7764
Au 0.2223 0.4011 0.9495
Au 0.2223 0.7728 0.3212
Au 0.4516 0.2728 0.0505
Au 0.4516 0.9011 0.6788

(8)
First-principles (PBE-GGA) data for a geometry-optimized BaLa3In structure, as listed in the Alexandria database.

Values from the calculation:
Space group   Pm-3m
ΔE to the lowest computed polymorph   536.9 meV per atom
E_form   3.5 eV/f.u.

a b c (Å): 5.8908 5.8908 5.8908
angles (deg): 90.00 90.00 90.00
Fractional coordinates of all 5 atoms:
Ba 0.0000 0.0000 0.0000
La 0.0000 0.0000 0.5000
La 0.0000 0.5000 0.0000
La 0.5000 0.0000 0.0000
In 0.5000 0.5000 0.5000

(9)
First-principles (PBE-GGA) data for a geometry-optimized CdP3 structure, as listed in the Alexandria database.

Values from the calculation:
Space group   P-6m2
ΔE to the lowest computed polymorph   423.2 meV per atom
E_form   1.6 eV/f.u.

a b c (Å): 3.3251 3.3251 7.4031
angles (deg): 90.00 90.00 120.00
Fractional coordinates of all 4 atoms:
Cd 0.0000 0.0000 0.0000
P 0.0000 0.0000 0.5000
P 0.6667 0.3333 0.2935
P 0.6667 0.3333 0.7065

(10)
First-principles (PBE-GGA) data for a geometry-optimized Rb2DyErO4 structure, as listed in the Alexandria database.

Values from the calculation:
Formation energy (no corrections)   -2.71 eV per atom
Space group   P2/m

a b c (Å): 6.0500 3.4928 6.8594
angles (deg): 90.00 107.09 90.00
Fractional coordinates of all 8 atoms:
Rb 0.0000 0.0000 0.0000
Rb 0.5000 0.5000 0.0000
Dy 0.0000 0.5000 0.5000
Er 0.5000 0.0000 0.5000
O 0.2271 0.0000 0.6747
O 0.2775 0.5000 0.3258
O 0.7225 0.5000 0.6742
O 0.7729 0.0000 0.3253

(11)
First-principles (PBE-GGA) data for a geometry-optimized Ho2Zn6Pd structure, as listed in the Alexandria database.

Values from the calculation:
Space group   C2/m
E_form   -3.6 eV/f.u.

a b c (Å): 5.7490 5.7490 5.6454
angles (deg): 90.07 90.07 60.08
Fractional coordinates of all 9 atoms:
Ho 0.1667 0.1667 0.3425
Ho 0.8333 0.8333 0.6575
Zn 0.1402 0.6798 0.1681
Zn 0.3202 0.8598 0.8319
Zn 0.3207 0.3207 0.8320
Zn 0.6793 0.6793 0.1680
Zn 0.6798 0.1402 0.1681
Zn 0.8598 0.3202 0.8319
Pd 0.5000 0.5000 0.5000

(12)
First-principles (PBE-GGA) data for a geometry-optimized CoRuCl3 structure, as listed in the Alexandria database.

Values from the calculation:
Formation energy (no corrections)   0.12 eV per atom
Space group   Pnma
ΔE to the lowest computed polymorph   364.8 meV per atom

a b c (Å): 6.0587 9.3972 6.2068
angles (deg): 90.00 90.00 90.00
Fractional coordinates of all 20 atoms:
Co 0.0000 0.0000 0.0000
Co 0.0000 0.5000 0.0000
Co 0.5000 0.0000 0.5000
Co 0.5000 0.5000 0.5000
Ru 0.0951 0.2500 0.4920
Ru 0.4049 0.7500 0.9920
Ru 0.5951 0.2500 0.0080
Ru 0.9049 0.7500 0.5080
Cl 0.0527 0.7500 0.1603
Cl 0.1601 0.5876 0.6686
Cl 0.1601 0.9124 0.6686
Cl 0.3399 0.0876 0.1686
Cl 0.3399 0.4124 0.1686
Cl 0.4473 0.2500 0.6603
Cl 0.5527 0.7500 0.3397
Cl 0.6601 0.5876 0.8314
Cl 0.6601 0.9124 0.8314
Cl 0.8399 0.0876 0.3314
Cl 0.8399 0.4124 0.3314
Cl 0.9473 0.2500 0.8397

Number 1: energy -5.40 eV per atom, calculated density 5.88 g cm⁻³. Number 2: energy -2.64 eV per atom, calculated density 5.98 g cm⁻³. Number 3: energy -4.47 eV per atom, calculated density 10.15 g cm⁻³. Number 4: energy -1.87 eV per atom, calculated density 7.58 g cm⁻³. Number 5: energy -3.98 eV per atom, calculated density 13.55 g cm⁻³. Number 6: energy -4.89 eV per atom, calculated density 6.89 g cm⁻³. Number 7: energy -6.17 eV per atom, calculated density 9.70 g cm⁻³. Number 8: energy -3.18 eV per atom, calculated density 5.43 g cm⁻³. Number 9: energy -3.90 eV per atom, calculated density 4.81 g cm⁻³. Number 10: energy -6.58 eV per atom, calculated density 6.77 g cm⁻³. Number 11: energy -2.84 eV per atom, calculated density 8.51 g cm⁻³. Number 12: energy -4.27 eV per atom, calculated density 5.01 g cm⁻³.